Record 1
# HoHf2ZrN4 (PBE, optimized geometry)
# Total moment ... 0.00 μB/f.u.
# V ... 397 Å³ per cell
# Uncorrected formation energy ... -1.761 eV per atom
data_HoHf2ZrN4
_cell_length_a 6.5446
_cell_length_b 6.5545
_cell_length_c 9.2599
_cell_angle_alpha 90.00
_cell_angle_beta 90.00
_cell_angle_gamma 90.00
_space_group_name_H-M_alt 'I m m a'
_space_group_IT_number 74
_space_group_name_Hall '-I 2b 2'
loop_
_atom_site_label
_atom_site_type_symbol
_atom_site_fract_x
_atom_site_fract_y
_atom_site_fract_z
Ho1 Ho 0.2500 0.2500 0.2500
Hf1 Hf 0.0000 0.0000 0.0000
Hf2 Hf 0.2500 0.2500 0.7500
Zr1 Zr 0.0000 0.0000 0.5000
N1 N 0.0000 0.0146 0.7544
N2 N 0.2405 0.2500 0.9928



Record 2
# SrOsS2Cl (PBE, optimized geometry)
# Total moment ... 1.22 μB/f.u.
# V ... 111 Å³ per cell
# Uncorrected formation energy ... -0.602 eV per atom
data_SrOsS2Cl
_cell_length_a 4.6732
_cell_length_b 4.6732
_cell_length_c 5.0703
_cell_angle_alpha 90.00
_cell_angle_beta 90.00
_cell_angle_gamma 90.00
_space_group_name_H-M_alt 'P 4/m m m'
_space_group_IT_number 123
_space_group_name_Hall '-P 4 2'
loop_
_atom_site_label
_atom_site_type_symbol
_atom_site_fract_x
_atom_site_fract_y
_atom_site_fract_z
Sr1 Sr 0.0000 0.0000 0.0000
Os1 Os 0.5000 0.5000 0.5000
S1 S 0.0000 0.5000 0.5000
Cl1 Cl 0.5000 0.5000 0.0000



Record 3
# LaBeFe2 (PBE, optimized geometry)
# Total moment ... 1.33 μB/f.u.
# V ... 135 Å³ per cell
# Calculated formation energy ... -0.02 eV per atom
data_LaBeFe2
_cell_length_a 6.7683
_cell_length_b 3.9105
_cell_length_c 5.5630
_cell_angle_alpha 90.00
_cell_angle_beta 113.92
_cell_angle_gamma 90.00
_space_group_name_H-M_alt 'C 1 m 1'
_space_group_IT_number 8
loop_
_space_group_symop_operation_xyz
'x,y,z'
'x,-y,z'
'x+1/2,y+1/2,z'
'x+1/2,-y+1/2,z'
loop_
_atom_site_label
_atom_site_type_symbol
_atom_site_fract_x
_atom_site_fract_y
_atom_site_fract_z
La1 La 0.0000 0.0000 0.0000
Be1 Be 0.3127 0.5000 0.4411
Fe1 Fe 0.0028 0.5000 0.5113
Fe2 Fe 0.1846 0.0000 0.5570